{
  "formula": "SrMg",
  "functional": "PBE",
  "state": "relaxed",
  "cell": [[4.021, 0.000, 0.000], [-2.011, 3.482, 0.000], [0.000, 0.000, 16.973]],
  "species": ["Sr", "Sr", "Sr", "Mg", "Mg", "Mg"],
  "frac_coords": [[0.000, 0.000, 0.000], [0.000, 0.000, 0.328], [0.667, 0.333, 0.539], [0.000, 0.000, 0.704], [0.667, 0.333, 0.164], [0.667, 0.333, 0.833]],
  "formation_energy_ev_per_atom": 0.13,
  "density_g_cm3": 2.35,
  "energy_ry_per_atom": -0.1110,
  "magmom_total_mub_per_fu": 0.0,
  "n_ef_per_ev_atom": 0.711
}